Computed, not measured: Li4OF3 after structural relaxation at the PBE-GGA level of DFT.

abc: 4.087 4.087 5.135
angles: 113.45 113.45 90.00
Site moments in Bohr magnetons follow the coordinates.
Atoms (fractional coordinates):
F (0.500, 0.500, 0.000)  0.00
F (0.750, 0.250, 0.500)  0.04
F (0.250, 0.750, 0.500)  0.04
O (0.000, 0.000, 0.000)  0.70
Li (0.731, 0.731, 0.462)  0.01
Li (0.269, 0.269, 0.538)  0.01
Li (0.500, 0.000, 0.000)  -0.01
Li (0.000, 0.500, 0.000)  -0.01

**Theoretical density**: 2360 kg/m3
**Spin magnetization**: 1.000 μB per formula unit
**Formation energy from raw total energies**: -1855 kJ/mol of formula units